# 1
A plane-wave DFT calculation with PBE was carried out for a relaxed Sr4AcTl4 crystal.

abc: 10.4586 10.4586 6.8992
angles: 90.00 90.00 90.00
Space group P4_2/n (No. 86, origin choice 2)
One atom of each set of equivalent atoms:
Sr  0.0599  0.6599  0.1355
Ac  0.2500  0.2500  0.2500
Tl  0.0248  0.6234  0.6247

Output
The theoretical density is 6.1 Mg/m³. The calculation puts the calculated formation energy at -0.198 eV per atom. The calculation puts the final energy at -2.454 eV/atom. The calculation puts the total magnetic moment at 0.0000 μB per atom. As for the crystal system: tetragonal.


# 2
A plane-wave DFT calculation with PBE was carried out for a relaxed Sr2AcTl crystal.

abc: 3.9852 3.9852 38.8049
angles: 90.00 90.00 120.00
Space group R-3m (No. 166, hexagonal axes)
One atom of each set of equivalent atoms:
Sr  0.0000  0.0000  0.1007
Ac  0.0000  0.0000  0.0000
Tl  0.0000  0.0000  0.5000

Output
The theoretical density is 5.7 Mg/m³. The calculation puts the calculated formation energy at 0.013 eV per atom. The calculation puts the final energy at -2.446 eV/atom. The calculation puts the total magnetic moment at 0.0002 μB per atom. As for the crystal system: trigonal.


# 3
A plane-wave DFT calculation with PBE was carried out for a relaxed Sr2AcTl crystal.

abc: 8.7075 8.7075 8.7075
angles: 90.00 90.00 90.00
Space group Fm-3m (No. 225)
One atom of each set of equivalent atoms:
Sr  0.2500  0.2500  0.2500
Ac  0.0000  0.0000  0.0000
Tl  0.0000  0.0000  0.5000

Output
The theoretical density is 6.1 Mg/m³. The calculation puts the calculated formation energy at 0.043 eV per atom. The calculation puts the final energy at -2.417 eV/atom. The calculation puts the total magnetic moment at 0.0000 μB per atom. As for the crystal system: cubic.


# 4
A plane-wave DFT calculation with PBE was carried out for a relaxed Sr2AcTl5 crystal.

abc: 5.7825 5.7825 15.9901
angles: 90.00 90.00 90.00
Space group I4/mmm (No. 139)
One atom of each set of equivalent atoms:
Sr  0.0000  0.0000  0.2386
Ac  0.0000  0.0000  0.5000
Tl  0.0000  0.0000  0.0000
Tl  0.0000  0.5000  0.1188

Output
The theoretical density is 8.8 Mg/m³. The calculation puts the calculated formation energy at -0.331 eV per atom. The calculation puts the final energy at -2.744 eV/atom. The calculation puts the total magnetic moment at 0.0000 μB per atom. As for the crystal system: tetragonal.


# 5
A plane-wave DFT calculation with PBE was carried out for a relaxed Sr3Ac2Tl4 crystal.

abc: 10.0877 5.8419 11.2054
angles: 90.00 90.19 90.00
Space group C2/m (No. 12)
One atom of each set of equivalent atoms:
Sr  0.0000  0.0000  0.0000
Sr  0.1674  0.5000  0.4133
Ac  0.1664  0.5000  0.7990
Tl  0.0013  0.0000  0.3431
Tl  0.1666  0.5000  0.1050

Output
The theoretical density is 7.7 Mg/m³. The calculation puts the calculated formation energy at -0.321 eV per atom. The calculation puts the final energy at -2.847 eV/atom. The calculation puts the total magnetic moment at 0.0000 μB per atom. As for the crystal system: monoclinic.


# 6
A plane-wave DFT calculation with PBE was carried out for a relaxed SrAc4Tl5 crystal.

abc: 4.1102 4.1102 20.8758
angles: 90.00 90.00 90.00
Space group P4/mmm (No. 123)
One atom of each set of equivalent atoms:
Sr  0.0000  0.0000  0.0000
Ac  0.0000  0.0000  0.1979
Ac  0.0000  0.0000  0.4002
Tl  0.5000  0.5000  0.0996
Tl  0.5000  0.5000  0.3011
Tl  0.5000  0.5000  0.5000

Output
The theoretical density is 9.5 Mg/m³. The calculation puts the calculated formation energy at -0.368 eV per atom. The calculation puts the final energy at -3.363 eV/atom. The calculation puts the total magnetic moment at 0.0000 μB per atom. As for the crystal system: tetragonal.


# 7
A plane-wave DFT calculation with PBE was carried out for a relaxed SrAc5Tl3 crystal.

abc: 10.2332 10.2332 7.4969
angles: 90.00 90.00 120.00
Space group P6_3/mcm (No. 193)
One atom of each set of equivalent atoms:
Sr  0.0000  0.0000  0.0000
Ac  0.0000  0.3388  0.2500
Ac  0.3333  0.6667  0.0000
Tl  0.0000  0.3264  0.7500

Output
The theoretical density is 9.0 Mg/m³. The calculation puts the calculated formation energy at -0.235 eV per atom. The calculation puts the final energy at -3.493 eV/atom. The calculation puts the total magnetic moment at 0.0001 μB per atom. As for the crystal system: hexagonal.


# 8
A plane-wave DFT calculation with PBE was carried out for a relaxed SrAc3Tl4 crystal.

abc: 4.0229 7.8542 19.3198
angles: 90.00 90.00 90.00
Space group Immm (No. 71)
One atom of each set of equivalent atoms:
Sr  0.0000  0.0000  0.0000
Ac  0.0000  0.0000  0.5000
Ac  0.0000  0.5000  0.2887
Tl  0.0000  0.2965  0.1279

Output
The theoretical density is 8.6 Mg/m³. The calculation puts the calculated formation energy at -0.261 eV per atom. The calculation puts the final energy at -3.195 eV/atom. The calculation puts the total magnetic moment at 0.0000 μB per atom. As for the crystal system: orthorhombic.


# 9
A plane-wave DFT calculation with PBE was carried out for a relaxed Sr5AcTl4 crystal.

abc: 4.0427 4.0427 22.9214
angles: 90.00 90.00 90.00
Space group P4/mmm (No. 123)
One atom of each set of equivalent atoms:
Sr  0.0000  0.0000  0.0000
Sr  0.0000  0.0000  0.1834
Sr  0.0000  0.0000  0.3650
Ac  0.5000  0.5000  0.5000
Tl  0.5000  0.5000  0.0921
Tl  0.5000  0.5000  0.2763

Output
The theoretical density is 6.6 Mg/m³. The calculation puts the calculated formation energy at -0.314 eV per atom. The calculation puts the final energy at -2.512 eV/atom. The calculation puts the total magnetic moment at 0.0000 μB per atom. As for the crystal system: tetragonal.


# 10
A plane-wave DFT calculation with PBE was carried out for a relaxed Sr2Ac3Tl2 crystal.

abc: 15.0497 4.2345 10.2086
angles: 90.00 115.15 90.00
Space group C2/m (No. 12)
One atom of each set of equivalent atoms:
Sr  0.1467  0.0000  0.3134
Ac  0.0000  0.5000  0.5000
Ac  0.1161  0.5000  0.9409
Tl  0.1821  0.0000  0.7184

Output
The theoretical density is 7.1 Mg/m³. The calculation puts the calculated formation energy at -0.171 eV per atom. The calculation puts the final energy at -3.089 eV/atom. The calculation puts the total magnetic moment at 0.0000 μB per atom. As for the crystal system: monoclinic.


# 11
A plane-wave DFT calculation with PBE was carried out for a relaxed SrAc6Tl5 crystal.

abc: 5.8835 8.3508 17.9234
angles: 90.00 90.00 90.00
Space group Immm (No. 71)
One atom of each set of equivalent atoms:
Sr  0.0000  0.0000  0.0000
Ac  0.0000  0.2233  0.5000
Ac  0.0000  0.2585  0.1770
Tl  0.0000  0.0000  0.3318
Tl  0.0000  0.5000  0.0000
Tl  0.0000  0.5000  0.3524

Output
The theoretical density is 9.3 Mg/m³. The calculation puts the calculated formation energy at -0.263 eV per atom. The calculation puts the final energy at -3.443 eV/atom. The calculation puts the total magnetic moment at 0.0000 μB per atom. As for the crystal system: orthorhombic.


# 12
A plane-wave DFT calculation with PBE was carried out for a relaxed SrAcTl5 crystal.

abc: 5.0003 5.0003 9.8470
angles: 90.00 90.00 90.00
Space group P4/mmm (No. 123)
One atom of each set of equivalent atoms:
Sr  0.0000  0.0000  0.0000
Ac  0.5000  0.5000  0.5000
Tl  0.0000  0.0000  0.5000
Tl  0.0000  0.5000  0.2469

Output
The theoretical density is 9.0 Mg/m³. The calculation puts the calculated formation energy at -0.170 eV per atom. The calculation puts the final energy at -2.688 eV/atom. The calculation puts the total magnetic moment at 0.0000 μB per atom. As for the crystal system: tetragonal.


# 13
A plane-wave DFT calculation with PBE was carried out for a relaxed SrAc2Tl crystal.

abc: 8.5937 8.5937 8.5937
angles: 90.00 90.00 90.00
Space group Fm-3m (No. 225)
One atom of each set of equivalent atoms:
Sr  0.0000  0.0000  0.0000
Ac  0.2500  0.2500  0.2500
Tl  0.0000  0.0000  0.5000

Output
The theoretical density is 7.8 Mg/m³. The calculation puts the calculated formation energy at -0.011 eV per atom. The calculation puts the final energy at -3.078 eV/atom. The calculation puts the total magnetic moment at 0.0000 μB per atom. As for the crystal system: cubic.


# 14
A plane-wave DFT calculation with PBE was carried out for a relaxed SrAcTl6 crystal.

abc: 5.5493 7.2823 12.3534
angles: 90.00 90.00 90.00
Space group Amm2 (No. 38)
One atom of each set of equivalent atoms:
Sr  0.0000  0.0000  0.0000
Ac  0.5000  0.0000  0.6743
Tl  0.0000  0.0000  0.4967
Tl  0.0000  0.2324  0.2563
Tl  0.5000  0.0000  0.1755
Tl  0.5000  0.2363  0.4191

Output
The theoretical density is 10.3 Mg/m³. The calculation puts the calculated formation energy at -0.267 eV per atom. The calculation puts the final energy at -2.766 eV/atom. The calculation puts the total magnetic moment at 0.0000 μB per atom. As for the crystal system: orthorhombic.


# 15
A plane-wave DFT calculation with PBE was carried out for a relaxed Sr2Ac2Tl3 crystal.

abc: 5.7477 5.7477 28.5286
angles: 90.00 90.00 120.00
Space group R-3m (No. 166, hexagonal axes)
One atom of each set of equivalent atoms:
Sr  0.0000  0.0000  0.1280
Ac  0.0000  0.0000  0.3790
Tl  0.0000  0.0000  0.0000
Tl  0.0000  0.0000  0.2500

Output
The theoretical density is 7.6 Mg/m³. The calculation puts the calculated formation energy at -0.293 eV per atom. The calculation puts the final energy at -2.962 eV/atom. The calculation puts the total magnetic moment at 0.0000 μB per atom. As for the crystal system: trigonal.


# 16
A plane-wave DFT calculation with PBE was carried out for a relaxed Sr3Ac2Tl2 crystal.

abc: 10.2903 5.9472 9.7723
angles: 90.00 110.50 90.00
Space group C2/m (No. 12)
One atom of each set of equivalent atoms:
Sr  0.0000  0.0000  0.0000
Sr  0.1424  0.0000  0.4268
Ac  0.0992  0.5000  0.7989
Tl  0.2320  0.5000  0.1944

Output
The theoretical density is 6.7 Mg/m³. The calculation puts the calculated formation energy at -0.207 eV per atom. The calculation puts the final energy at -2.778 eV/atom. The calculation puts the total magnetic moment at 0.0000 μB per atom. As for the crystal system: monoclinic.


# 17
A plane-wave DFT calculation with PBE was carried out for a relaxed SrAcTl3 crystal.

abc: 8.6151 8.6505 9.4433
angles: 90.00 90.00 90.00
Space group Pnnm (No. 58)
One atom of each set of equivalent atoms:
Sr  0.1793  0.1645  0.0000
Ac  0.1759  0.1648  0.5000
Tl  0.0000  0.5000  0.2124
Tl  0.1270  0.8682  0.2488

Output
The theoretical density is 8.8 Mg/m³. The calculation puts the calculated formation energy at -0.306 eV per atom. The calculation puts the final energy at -2.884 eV/atom. The calculation puts the total magnetic moment at 0.0000 μB per atom. As for the crystal system: orthorhombic.


# 18
A plane-wave DFT calculation with PBE was carried out for a relaxed Sr2AcTl crystal.

abc: 3.9411 3.9411 10.7325
angles: 90.00 90.00 90.00
Space group P4/mmm (No. 123)
One atom of each set of equivalent atoms:
Sr  0.0000  0.0000  0.2030
Ac  0.5000  0.5000  0.5000
Tl  0.5000  0.5000  0.0000

Output
The theoretical density is 6.0 Mg/m³. The calculation puts the calculated formation energy at -0.158 eV per atom. The calculation puts the final energy at -2.618 eV/atom. The calculation puts the total magnetic moment at 0.0000 μB per atom. As for the crystal system: tetragonal.


# 19
A plane-wave DFT calculation with PBE was carried out for a relaxed SrAc2Tl crystal.

abc: 4.1789 4.1789 9.8259
angles: 90.00 90.00 90.00
Space group P4/mmm (No. 123)
One atom of each set of equivalent atoms:
Sr  0.0000  0.0000  0.0000
Ac  0.5000  0.5000  0.3037
Tl  0.0000  0.0000  0.5000

Output
The theoretical density is 7.2 Mg/m³. The calculation puts the calculated formation energy at -0.108 eV per atom. The calculation puts the final energy at -3.175 eV/atom. The calculation puts the total magnetic moment at 0.0000 μB per atom. As for the crystal system: tetragonal.


# 20
A plane-wave DFT calculation with PBE was carried out for a relaxed Sr2AcTl crystal.

abc: 4.0757 4.0757 36.0261
angles: 90.00 90.00 120.00
Space group R3m (No. 160, hexagonal axes)
One atom of each set of equivalent atoms:
Sr  0.0000  0.0000  0.0000
Sr  0.0000  0.0000  0.1905
Ac  0.0000  0.0000  0.7614
Tl  0.0000  0.0000  0.5956

Output
The theoretical density is 5.8 Mg/m³. The calculation puts the calculated formation energy at -0.095 eV per atom. The calculation puts the final energy at -2.555 eV/atom. The calculation puts the total magnetic moment at 0.0000 μB per atom. As for the crystal system: trigonal.